# 1
VASP calculation (PBE) on a geometry-optimized La2Sc3Pt4 structure.

Cell: 7.326 7.381 7.858 Å, 90.00 110.14 90.00°
Space group P2_1/c (No. 14)
Unique sites:
La (0.193, 0.172, 0.079)
Sc (0.253, 0.655, 0.249)
Sc (0.500, 0.000, 0.500)
Pt (0.097, 0.551, 0.869)
Pt (0.492, 0.643, 0.623)

Values from the calculation:
* calculated total energy: -7.046 eV/atom



# 2
VASP calculation (PBE) on a geometry-optimized La2ScPt structure.

Cell: 3.784 5.025 12.204 Å, 90.00 90.00 90.00°
Space group Amm2 (No. 38)
Unique sites:
La (0.000, 0.000, 0.000)
La (0.500, 0.000, 0.304)
Sc (0.500, 0.000, 0.606)
Pt (0.000, 0.000, 0.758)

Values from the calculation:
* polymorph energy (0 for the lowest one): 0 meV/atom